A plane-wave DFT calculation with PBE was carried out for an optimized crystal structure of SrCO3.

ΔE_f (raw): 1.34 eV per atom
Density: 2.48 g cm⁻³

abc: 4.627 4.627 4.627
angles: 90.00 90.00 90.00
Each line ends with the local moment (μB).
Sites, in units of the cell vectors:
Sr1 0.000 0.000 0.000  0.01
C1 0.500 0.500 0.500  -0.82
O1 0.000 0.500 0.000  0.89
O2 0.000 0.000 0.500  1.25
O3 0.500 0.000 0.000  0.79


A plane-wave DFT calculation with PBE was carried out for an optimized crystal structure of SrC2O.

ΔE_f (raw): 0.46 eV per atom
Density: 3.32 g cm⁻³

abc: 3.070 3.070 13.708
angles: 83.57 83.57 90.00
Sites, in units of the cell vectors:
C1 0.375 0.625 0.750
C2 0.375 0.125 0.250
O1 0.250 0.750 0.500
Sr1 0.000 0.000 0.000
C3 0.875 0.625 0.750
Sr2 0.750 0.250 0.500
C4 0.375 0.625 0.250
O2 0.500 0.500 0.000


- What is the ΔE_f (raw) in the first record?
  1.34 eV per atom